(1)
## Er3TmBi4 (PBE)

Data for crystalline Er3TmBi4 at its relaxed geometry.

**Energy of formation**: -0.8046 eV per atom
**ΔE to the lowest computed polymorph**: 5.6 meV per atom

a = 8.880 Å, b = 12.555 Å, c = 4.443 Å
α = 90.00°, β = 90.00°, γ = 90.00°
Space group Cmmm (No. 65)
One atom of each set of equivalent atoms:
Er  0.000  0.000  0.000 x2
Er  0.250  0.250  0.500 x4
Tm  0.000  0.500  0.000 x2
Bi  0.000  0.250  0.000 x4
Bi  0.249  0.500  0.500 x4

---

(2)
## Li3Zn2Ga2Au4 (PBE)

Data for crystalline Li3Zn2Ga2Au4 at its relaxed geometry.

**Energy of formation**: -0.4048 eV per atom

a = 4.4532 Å, b = 4.4532 Å, c = 10.7365 Å
α = 90.00°, β = 90.00°, γ = 120.00°
Space group P-3m1 (No. 164)
One atom of each set of equivalent atoms:
Li  0.0000  0.0000  0.0000 x1
Li  0.0000  0.0000  0.2723 x2
Zn  0.3333  0.6667  0.5809 x2
Ga  0.3333  0.6667  0.0923 x2
Au  0.3333  0.6667  0.3395 x2
Au  0.3333  0.6667  0.8408 x2

---

(3)
## YSe2Br (PBE)

Data for crystalline YSe2Br at its relaxed geometry.

**Energy relative to the elements, uncorrected**: -0.7767 eV per atom
**ΔE to the lowest computed polymorph**: 485.9 meV per atom

a = 4.059 Å, b = 4.059 Å, c = 12.193 Å
α = 90.00°, β = 90.00°, γ = 90.00°
Space group I-4m2 (No. 119)
One atom of each set of equivalent atoms:
Y  0.000  0.000  0.000 x2
Se  0.000  0.000  0.500 x2
Se  0.000  0.500  0.250 x2
Br  0.000  0.500  0.750 x2

---

So what do the calculations give for raw total energy? Going down the list: -0.184; -0.107; -0.167 Ha/atom.